P:
Computed, not measured: a crystal of Li3MnP2O8 relaxed with PBEsol at the SCAN level of DFT.

**Crystal system**: monoclinic
**Volume**: 9.58 Å³/atom

a b c (Å): 4.8255 4.8255 6.1930
angles (deg): 90.15 90.15 68.38
Sites, in units of the cell vectors:
O: 0.7635 0.7635 0.9665
O: 0.7572 0.7572 0.5589
O: 0.2394 0.6975 0.2325
O: 0.2365 0.2365 0.0335
O: 0.7606 0.3025 0.7675
O: 0.6975 0.2394 0.2325
O: 0.3025 0.7606 0.7675
O: 0.2428 0.2428 0.4411
Mn: 0.0000 0.0000 0.0000
Li: 0.6764 0.6764 0.2703
Li: 0.0000 0.0000 0.5000
Li: 0.3236 0.3236 0.7297
P: 0.6506 0.6506 0.7592
P: 0.3494 0.3494 0.2408

***

Q:
Computed, not measured: a crystal of Li3MnP2O8 relaxed with PBEsol at the SCAN level of DFT.

**Crystal system**: triclinic
**Volume**: 11.55 Å³/atom

a b c (Å): 7.9067 8.3208 10.2175
angles (deg): 89.54 89.75 105.78
Sites, in units of the cell vectors:
O: 0.2607 0.4835 0.0560
O: 0.5867 0.8332 0.8576
O: 0.7093 0.4824 0.9569
O: 0.3726 0.3817 0.3672
O: 0.7074 0.9802 0.5464
O: 0.1987 0.5956 0.8346
O: 0.8869 0.4899 0.6700
O: 0.3234 0.8673 0.1497
O: 0.4203 0.6912 0.3977
O: 0.8128 0.9029 0.3311
O: 0.6933 0.6571 0.1640
O: 0.5800 0.3297 0.6078
O: 0.0951 0.0336 0.1444
O: 0.6897 0.1563 0.3401
O: 0.2056 0.1016 0.6671
O: 0.2324 0.4913 0.5610
O: 0.7512 0.9920 0.0564
O: 0.2438 0.9865 0.9346
O: 0.6612 0.1503 0.8769
O: 0.4149 0.1785 0.1077
O: 0.9743 0.6864 0.0722
O: 0.3154 0.3346 0.8485
O: 0.3091 0.0094 0.4554
O: 0.9717 0.1886 0.4331
O: 0.8148 0.3997 0.1684
O: 0.8938 0.9883 0.8316
O: 0.7811 0.5043 0.4357
O: 0.1244 0.5128 0.3260
O: 0.6608 0.6463 0.6145
O: 0.3120 0.8338 0.6607
O: 0.0322 0.8197 0.5777
O: 0.0196 0.3085 0.9078
P: 0.2029 0.4418 0.9174
P: 0.2901 0.5166 0.4146
P: 0.2718 0.0123 0.0851
P: 0.7138 0.9907 0.9057
P: 0.2176 0.9526 0.5839
P: 0.7926 0.5490 0.0842
P: 0.7209 0.4929 0.5818
P: 0.7955 0.0477 0.4192
Mn: 0.8836 0.8613 0.1527
Mn: 0.8988 0.3544 0.3371
Mn: 0.1095 0.6401 0.6607
Mn: 0.1134 0.1331 0.8428
Li: 0.3522 0.3409 0.6547
Li: 0.3853 0.8857 0.3259
Li: 0.6597 0.1632 0.1398
Li: 0.5130 0.7815 0.5761
Li: 0.3102 0.3339 0.1883
Li: 0.4912 0.2263 0.4400
Li: 0.8144 0.3583 0.8319
Li: 0.8121 0.8533 0.6715
Li: 0.5130 0.2808 0.9348
Li: 0.6602 0.6634 0.3556
Li: 0.1838 0.6440 0.1516
Li: 0.3530 0.8260 0.8544

***

Q: Which of them is the least stable? A: Q.

***

P:
Computed, not measured: a crystal of Li3MnP2O8 relaxed with PBEsol at the SCAN level of DFT.

**Crystal system**: monoclinic
**Volume**: 9.77 Å³/atom

a b c (Å): 4.6664 5.8996 9.9429
angles (deg): 90.00 91.36 90.00
Sites, in units of the cell vectors:
Li: 0.4781 0.7500 0.7182
Li: 0.0000 0.5000 0.5000
Li: 0.5000 0.0000 0.0000
Li: 0.0000 0.0000 0.5000
Li: 0.5000 0.5000 0.0000
Li: 0.5219 0.2500 0.2818
P: 0.4103 0.2500 0.6021
P: 0.9356 0.7500 0.9082
P: 0.0644 0.2500 0.0918
P: 0.5897 0.7500 0.3979
O: 0.3057 0.2500 0.4554
O: 0.2724 0.4562 0.6747
O: 0.2553 0.7500 0.3860
O: 0.7276 0.9562 0.3253
O: 0.2040 0.4606 0.1617
O: 0.7409 0.2500 0.0859
O: 0.2591 0.7500 0.9141
O: 0.2040 0.0394 0.1617
O: 0.7960 0.5394 0.8383
O: 0.6943 0.7500 0.5446
O: 0.7276 0.5438 0.3253
O: 0.7447 0.2500 0.6140
O: 0.8014 0.7500 0.0537
O: 0.1986 0.2500 0.9463
O: 0.7960 0.9606 0.8383
O: 0.2724 0.0438 0.6747
Mn: 0.9788 0.2500 0.7810
Mn: 0.0212 0.7500 0.2190

***

Q:
Computed, not measured: a crystal of Li3MnP2O8 relaxed with PBEsol at the SCAN level of DFT.

**Crystal system**: triclinic
**Volume**: 10.28 Å³/atom

a b c (Å): 7.2760 8.0885 8.5155
angles (deg): 118.65 99.37 90.66
Sites, in units of the cell vectors:
Mn: 0.0147 0.6784 0.3506
Mn: 0.0000 0.0000 0.0000
Mn: 0.9853 0.3216 0.6494
O: 0.2692 0.5161 0.1002
O: 0.8056 0.4174 0.5318
O: 0.1810 0.2065 0.0788
O: 0.9121 0.8229 0.5861
O: 0.0879 0.1771 0.4139
O: 0.7308 0.4839 0.8998
O: 0.2138 0.8774 0.4153
O: 0.1944 0.5826 0.4682
O: 0.1381 0.5523 0.7503
O: 0.4227 0.1192 0.4041
O: 0.7862 0.1226 0.5847
O: 0.2939 0.8490 0.7972
O: 0.4521 0.5409 0.6628
O: 0.8619 0.4477 0.2497
O: 0.7061 0.1510 0.2028
O: 0.1666 0.9108 0.1321
O: 0.5773 0.8808 0.5959
O: 0.4505 0.2226 0.9337
O: 0.8334 0.0892 0.8679
O: 0.1372 0.2321 0.7858
O: 0.5495 0.7774 0.0663
O: 0.8628 0.7679 0.2142
O: 0.5479 0.4591 0.3372
O: 0.8190 0.7935 0.9212
P: 0.7286 0.3648 0.3279
P: 0.7783 0.9752 0.6542
P: 0.2714 0.6352 0.6721
P: 0.2637 0.3029 0.9780
P: 0.7363 0.6971 0.0220
P: 0.2217 0.0248 0.3458
Li: 0.5809 0.3312 0.6442
Li: 0.7111 0.3173 0.9929
Li: 0.6501 0.0042 0.3167
Li: 0.3214 0.3434 0.3524
Li: 0.3499 0.9958 0.6833
Li: 0.2889 0.6827 0.0071
Li: 0.6786 0.6566 0.6476
Li: 0.4191 0.6688 0.3558
Li: 0.5000 0.0000 0.0000

***

Q: Which of them is the least stable? A: Q.

***

P:
Computed, not measured: a crystal of Li4MnP2O8 relaxed with PBEsol at the SCAN level of DFT.

**Crystal system**: triclinic
**Volume**: 10.26 Å³/atom

a b c (Å): 4.9441 5.1440 6.1514
angles (deg): 93.91 94.14 98.24
Sites, in units of the cell vectors:
P: 0.6318 0.1789 0.2704
P: 0.3682 0.8211 0.7296
O: 0.2257 0.6902 0.9209
O: 0.3203 0.1977 0.2448
O: 0.6797 0.8023 0.7552
O: 0.3037 0.1094 0.7441
O: 0.7580 0.3243 0.4901
O: 0.2420 0.6757 0.5099
O: 0.7743 0.3098 0.0791
O: 0.6963 0.8906 0.2559
Li: 0.8473 0.7061 0.4857
Li: 0.6452 0.3825 0.7919
Li: 0.3548 0.6175 0.2081
Li: 0.1527 0.2939 0.5143
Mn: 0.0000 0.0000 0.0000

***

Q:
Computed, not measured: a crystal of Li4MnP2O8 relaxed with PBEsol at the SCAN level of DFT.

**Crystal system**: monoclinic
**Volume**: 11.05 Å³/atom

a b c (Å): 8.1188 8.1807 10.3156
angles (deg): 90.00 90.00 104.65
Sites, in units of the cell vectors:
Li: 0.8463 0.8454 0.6522
Li: 0.5984 0.5966 0.8381
Li: 0.4016 0.4034 0.1619
Li: 0.0984 0.5966 0.6619
Li: 0.2713 0.5204 0.9246
Li: 0.3463 0.8454 0.8478
Li: 0.3445 0.3446 0.6632
Li: 0.1537 0.1546 0.3478
Li: 0.6555 0.6554 0.3368
Li: 0.2287 0.4796 0.4246
Li: 0.1555 0.6554 0.1632
Li: 0.7287 0.4796 0.0754
Li: 0.8445 0.3446 0.8368
Li: 0.6537 0.1546 0.1522
Li: 0.7713 0.5204 0.5754
Li: 0.9016 0.4034 0.3381
O: 0.1208 0.1979 0.6684
O: 0.6898 0.4452 0.4001
O: 0.5247 0.2777 0.0505
O: 0.8731 0.3445 0.1546
O: 0.1784 0.9327 0.4009
O: 0.6269 0.6555 0.6546
O: 0.0103 0.7509 0.0512
O: 0.5647 0.1443 0.3315
O: 0.0903 0.6208 0.3463
O: 0.9897 0.2491 0.9488
O: 0.6784 0.9327 0.0991
O: 0.5903 0.6208 0.1537
O: 0.0647 0.1443 0.1685
O: 0.4097 0.3792 0.8463
O: 0.8102 0.5548 0.9001
O: 0.3792 0.8021 0.1684
O: 0.9753 0.7223 0.5505
O: 0.3102 0.5548 0.5999
O: 0.9353 0.8557 0.8315
O: 0.4753 0.7223 0.9495
O: 0.5103 0.7509 0.4488
O: 0.0247 0.2777 0.4495
O: 0.8216 0.0673 0.5991
O: 0.8792 0.8021 0.3316
O: 0.4353 0.8557 0.6685
O: 0.3731 0.3445 0.3454
O: 0.4897 0.2491 0.5512
O: 0.6208 0.1979 0.8316
O: 0.3216 0.0673 0.9009
O: 0.1269 0.6555 0.8454
O: 0.9097 0.3792 0.6537
O: 0.1898 0.4452 0.0999
Mn: 0.9091 0.9101 0.1546
Mn: 0.0909 0.0899 0.8454
Mn: 0.5909 0.0899 0.6546
Mn: 0.4091 0.9101 0.3454
P: 0.9716 0.7035 0.9064
P: 0.4691 0.2314 0.9096
P: 0.9691 0.2314 0.5904
P: 0.0309 0.7686 0.4096
P: 0.4716 0.7035 0.5936
P: 0.5284 0.2965 0.4064
P: 0.5309 0.7686 0.0904
P: 0.0284 0.2965 0.0936

***

Q: Which of them is the least stable? A: P.

***

P:
Computed, not measured: a crystal of LiMnP2O7 relaxed with PBEsol at the SCAN level of DFT.

**Crystal system**: monoclinic
**Volume**: 10.54 Å³/atom

a b c (Å): 4.5377 5.2170 5.2170
angles (deg): 100.00 101.15 101.15
Sites, in units of the cell vectors:
Mn: 0.5000 0.8731 0.1269
Li: 0.5000 0.2489 0.7511
P: 0.0926 0.3373 0.2638
P: 0.9074 0.7362 0.6627
O: 0.7833 0.1751 0.0713
O: 0.6859 0.6366 0.8257
O: 0.2299 0.5521 0.1274
O: 0.3141 0.1743 0.3634
O: 0.0000 0.4724 0.5276
O: 0.7701 0.8726 0.4479
O: 0.2167 0.9287 0.8249

***

Q:
Computed, not measured: a crystal of LiMnP2O7 relaxed with PBEsol at the SCAN level of DFT.

**Crystal system**: monoclinic
**Volume**: 10.85 Å³/atom

a b c (Å): 6.8098 8.1463 9.1820
angles (deg): 90.00 110.44 90.00
Sites, in units of the cell vectors:
O: 0.7635 0.8150 0.1028
O: 0.9621 0.6146 0.8855
O: 0.4562 0.1126 0.6071
O: 0.7635 0.6850 0.6028
O: 0.1387 0.7474 0.7124
O: 0.4859 0.0790 0.1396
O: 0.8613 0.2474 0.7876
O: 0.8886 0.9126 0.8013
O: 0.5141 0.5790 0.3604
O: 0.6215 0.2292 0.9475
O: 0.4859 0.4210 0.6396
O: 0.8886 0.5874 0.3013
O: 0.1114 0.0874 0.1987
O: 0.4562 0.3874 0.1071
O: 0.0379 0.3854 0.1145
O: 0.6215 0.2708 0.4475
O: 0.1387 0.7526 0.2124
O: 0.1114 0.4126 0.6987
O: 0.5141 0.9210 0.8604
O: 0.5438 0.8874 0.3929
O: 0.3785 0.7708 0.0525
O: 0.0379 0.1146 0.6145
O: 0.2365 0.1850 0.8972
O: 0.5438 0.6126 0.8929
O: 0.8613 0.2526 0.2876
O: 0.3785 0.7292 0.5525
O: 0.2365 0.3150 0.3972
O: 0.9621 0.8854 0.3855
P: 0.0570 0.2394 0.7376
P: 0.5444 0.7755 0.9734
P: 0.5444 0.7245 0.4734
P: 0.9430 0.7394 0.7624
P: 0.4556 0.2245 0.0266
P: 0.9430 0.7606 0.2624
P: 0.4556 0.2755 0.5266
P: 0.0570 0.2606 0.2376
Li: 0.2083 0.9370 0.5827
Li: 0.2083 0.5630 0.0827
Li: 0.7917 0.0630 0.4173
Li: 0.7917 0.4370 0.9173
Mn: 0.3011 0.5708 0.6770
Mn: 0.6989 0.0708 0.8230
Mn: 0.3011 0.9292 0.1770
Mn: 0.6989 0.4292 0.3230

***

Q: Which of them is the least stable? A: Q.

***

P:
Computed, not measured: a crystal of LiMn2P3O12 relaxed with PBEsol at the SCAN level of DFT.

**Crystal system**: monoclinic
**Volume**: 10.89 Å³/atom

a b c (Å): 8.1102 8.3915 11.5180
angles (deg): 90.00 90.11 90.00
Sites, in units of the cell vectors:
P: 0.5347 0.4968 0.9880
P: 0.6096 0.6313 0.6430
P: 0.3891 0.1328 0.6457
P: 0.8869 0.1370 0.8585
P: 0.6095 0.3637 0.3521
P: 0.9688 0.0002 0.5079
P: 0.1095 0.6363 0.8521
P: 0.8891 0.8672 0.1457
P: 0.1096 0.3687 0.1430
P: 0.0347 0.5032 0.4880
P: 0.3869 0.8630 0.3585
P: 0.4688 0.9998 0.0079
Mn: 0.2552 0.2772 0.8906
Mn: 0.2463 0.7786 0.6136
Mn: 0.7463 0.2214 0.1136
Mn: 0.7552 0.7228 0.3906
Mn: 0.7517 0.7763 0.8839
Mn: 0.2463 0.7174 0.1156
Mn: 0.2517 0.2237 0.3839
Mn: 0.7463 0.2826 0.6156
O: 0.6621 0.4649 0.6835
O: 0.4332 0.4214 0.8899
O: 0.6408 0.3226 0.4795
O: 0.4288 0.6349 0.6047
O: 0.5639 0.8722 0.9418
O: 0.9314 0.6771 0.8175
O: 0.4058 0.1176 0.9152
O: 0.6346 0.7514 0.7435
O: 0.7284 0.2700 0.2738
O: 0.3846 0.9492 0.6575
O: 0.9288 0.3651 0.1047
O: 0.0964 0.6141 0.5858
O: 0.1230 0.4517 0.8380
O: 0.5673 0.0764 0.1088
O: 0.0639 0.1278 0.4418
O: 0.5964 0.3859 0.0858
O: 0.1346 0.2486 0.2435
O: 0.7695 0.7722 0.2240
O: 0.7681 0.1911 0.9545
O: 0.5702 0.1692 0.6818
O: 0.2300 0.3108 0.0470
O: 0.9058 0.8824 0.4152
O: 0.1408 0.6774 0.9795
O: 0.6230 0.5483 0.3380
O: 0.8143 0.0758 0.5652
O: 0.3143 0.9242 0.0652
O: 0.9387 0.3761 0.5592
O: 0.8846 0.0508 0.1575
O: 0.9332 0.5786 0.3899
O: 0.6862 0.5771 0.9342
O: 0.3732 0.7494 0.2525
O: 0.5687 0.8631 0.3970
O: 0.3614 0.1818 0.5199
O: 0.2284 0.7300 0.7738
O: 0.0687 0.1369 0.8970
O: 0.8732 0.2506 0.7525
O: 0.4387 0.6239 0.0592
O: 0.7300 0.6892 0.5470
O: 0.2681 0.8089 0.4545
O: 0.2695 0.2278 0.7240
O: 0.0673 0.9236 0.6088
O: 0.1621 0.5351 0.1835
O: 0.0702 0.8308 0.1818
O: 0.8614 0.8182 0.0199
O: 0.8290 0.9712 0.8156
O: 0.4314 0.3229 0.3175
O: 0.1862 0.4229 0.4342
O: 0.3290 0.0288 0.3156
Li: 0.1804 0.0402 0.1797
Li: 0.5733 0.6472 0.1952
Li: 0.6804 0.9598 0.6797
Li: 0.0733 0.3528 0.6952

***

Q:
Computed, not measured: a crystal of LiMn2P3O12 relaxed with PBEsol at the SCAN level of DFT.

**Crystal system**: monoclinic
**Volume**: 10.99 Å³/atom

a b c (Å): 6.1119 8.3834 8.3834
angles (deg): 91.66 105.73 105.73
Sites, in units of the cell vectors:
O: 0.9758 0.8508 0.2574
O: 0.1688 0.9427 0.5894
O: 0.7845 0.5354 0.6826
O: 0.2845 0.6826 0.5354
O: 0.0911 0.6433 0.9707
O: 0.5242 0.7426 0.1492
O: 0.6082 0.1900 0.1663
O: 0.6688 0.5894 0.9427
O: 0.7155 0.3174 0.4646
O: 0.1082 0.1663 0.1900
O: 0.5911 0.9707 0.6433
O: 0.2155 0.4646 0.3174
O: 0.2267 0.4565 0.7463
O: 0.3918 0.8100 0.8337
O: 0.4089 0.0293 0.3567
O: 0.8312 0.0573 0.4106
O: 0.0242 0.1492 0.7426
O: 0.3312 0.4106 0.0573
O: 0.9089 0.3567 0.0293
O: 0.7733 0.5435 0.2537
O: 0.7267 0.7463 0.4565
O: 0.4758 0.2574 0.8508
O: 0.8918 0.8337 0.8100
O: 0.2733 0.2537 0.5435
P: 0.1416 0.3527 0.1608
P: 0.6416 0.1608 0.3527
P: 0.7500 0.7233 0.2767
P: 0.2500 0.2767 0.7233
P: 0.8584 0.6473 0.8392
P: 0.3584 0.8392 0.6473
Mn: 0.3627 0.6192 0.9412
Mn: 0.1373 0.0588 0.3808
Mn: 0.6373 0.3808 0.0588
Mn: 0.8627 0.9412 0.6192
Li: 0.0000 0.5000 0.5000
Li: 0.5000 0.5000 0.5000

***

Q: Which of them is the least stable? A: Q.